Compound: TaRe2Ag
Source: Alexandria via LeMat-Bulk
Functional: PBE-GGA
Structure: optimized geometry

Energy of formation from the pure elements   249.6 meV/atom
N(E_F)   1.07 states/eV per atom

Structure (POSCAR):
```
TaRe2Ag
1.0
-6.605 -4.305 -5.704
-4.331 -5.722 -6.572
-5.740 -6.583 -4.290
Re Ag Ta
2 1 1
Cartesian
-16.583 -16.516 -16.473
-4.250 -4.233 -4.222
-12.472 -12.423 -12.390
-8.385 -8.352 -8.330
```